# PBE ZrFeTc2, relaxed
# Magnetic moment: 0.00 μB per cell
# Energy relative to the lowest polymorph listed for this composition: 421.4 meV/atom
# Formation energy: 389 meV per atom
# Calculated total energy: -0.6649 Ry/atom
# DOS at the Fermi energy: 3.1 states/eV/f.u.
# Space group: I-42d
data_ZrFeTc2
_chemical_formula_sum 'Zr2 Fe2 Tc4'
_space_group_name_H-M_alt 'P 1'
_space_group_IT_number 1
_cell_length_a 7.257
_cell_length_b 7.257
_cell_length_c 5.709
_cell_angle_alpha 50.54
_cell_angle_beta 50.54
_cell_angle_gamma 90.00
loop_
_space_group_symop_operation_xyz
'x,y,z'
loop_
_atom_site_label
_atom_site_fract_x
_atom_site_fract_y
_atom_site_fract_z
Tc1 0.568 0.125 0.250
Tc2 0.182 0.625 0.250
Tc3 0.375 0.432 0.750
Tc4 0.875 0.818 0.750
Zr1 0.000 0.000 0.000
Zr2 0.750 0.250 0.500
Fe1 0.500 0.500 0.000
Fe2 0.250 0.750 0.500

# PBE ZrFe8Tc3, relaxed
# Magnetic moment: 6.25 μB per cell
# Formation energy: -28 meV per atom
# Calculated total energy: -0.6595 Ry/atom
# DOS at the Fermi energy: 12.7 states/eV/f.u.
# Space group: P3m1
data_ZrFe8Tc3
_chemical_formula_sum 'Zr1 Fe8 Tc3'
_space_group_name_H-M_alt 'P 1'
_space_group_IT_number 1
_cell_length_a 4.695
_cell_length_b 4.695
_cell_length_c 7.820
_cell_angle_alpha 90.00
_cell_angle_beta 90.00
_cell_angle_gamma 120.00
loop_
_space_group_symop_operation_xyz
'x,y,z'
loop_
_atom_site_label
_atom_site_fract_x
_atom_site_fract_y
_atom_site_fract_z
Zr1 0.000 0.000 0.567
Fe1 0.333 0.667 0.499
Fe2 0.333 0.667 0.002
Fe3 0.503 0.007 0.757
Fe4 0.503 0.497 0.757
Fe5 0.993 0.497 0.757
Fe6 0.164 0.327 0.248
Fe7 0.164 0.836 0.248
Fe8 0.673 0.836 0.248
Tc1 0.667 0.333 0.410
Tc2 0.667 0.333 0.063
Tc3 0.000 0.000 0.945

# PBE Zr6FeTc5, relaxed
# Magnetic moment: 0.71 μB per cell
# Formation energy: -325 meV per atom
# Calculated total energy: -0.7073 Ry/atom
# DOS at the Fermi energy: 11.6 states/eV/f.u.
# Space group: Immm
data_Zr6FeTc5
_chemical_formula_sum 'Zr6 Fe1 Tc5'
_space_group_name_H-M_alt 'P 1'
_space_group_IT_number 1
_cell_length_a 4.652
_cell_length_b 6.548
_cell_length_c 8.029
_cell_angle_alpha 114.07
_cell_angle_beta 106.84
_cell_angle_gamma 90.00
loop_
_space_group_symop_operation_xyz
'x,y,z'
loop_
_atom_site_label
_atom_site_fract_x
_atom_site_fract_y
_atom_site_fract_z
Fe1 0.000 0.000 0.000
Zr1 0.834 0.585 0.669
Zr2 0.834 0.083 0.669
Zr3 0.500 0.752 0.000
Zr4 0.500 0.248 0.000
Zr5 0.166 0.917 0.331
Zr6 0.166 0.415 0.331
Tc1 0.666 0.166 0.331
Tc2 0.334 0.334 0.667
Tc3 0.000 0.500 0.000
Tc4 0.666 0.666 0.333
Tc5 0.334 0.834 0.669

# PBE Zr2FeTc, relaxed
# Magnetic moment: 0.05 μB per cell
# Formation energy: -277 meV per atom
# Calculated total energy: -0.6805 Ry/atom
# DOS at the Fermi energy: 3.4 states/eV/f.u.
# Space group: Fm-3m
data_Zr2FeTc
_chemical_formula_sum 'Zr2 Fe1 Tc1'
_space_group_name_H-M_alt 'P 1'
_space_group_IT_number 1
_cell_length_a 4.581
_cell_length_b 4.581
_cell_length_c 4.581
_cell_angle_alpha 60.00
_cell_angle_beta 60.00
_cell_angle_gamma 60.00
loop_
_space_group_symop_operation_xyz
'x,y,z'
loop_
_atom_site_label
_atom_site_fract_x
_atom_site_fract_y
_atom_site_fract_z
Tc1 0.750 0.750 0.750
Zr1 0.000 0.000 0.000
Zr2 0.500 0.500 0.500
Fe1 0.250 0.250 0.250

# PBE ZrFeTc2, relaxed
# Magnetic moment: 2.56 μB per cell
# Energy relative to the lowest polymorph listed for this composition: 89.4 meV/atom
# Formation energy: 57 meV per atom
# Calculated total energy: -0.6893 Ry/atom
# DOS at the Fermi energy: 3.7 states/eV/f.u.
# Space group: Pm
data_ZrFeTc2
_chemical_formula_sum 'Zr1 Fe1 Tc2'
_space_group_name_H-M_alt 'P 1'
_space_group_IT_number 1
_cell_length_a 4.354
_cell_length_b 2.796
_cell_length_c 5.265
_cell_angle_alpha 78.33
_cell_angle_beta 90.00
_cell_angle_gamma 90.00
loop_
_space_group_symop_operation_xyz
'x,y,z'
loop_
_atom_site_label
_atom_site_fract_x
_atom_site_fract_y
_atom_site_fract_z
Fe1 0.500 0.772 0.760
Tc1 0.000 0.984 0.009
Tc2 0.500 0.253 0.222
Zr1 0.000 0.491 0.509

# PBE Fe4Te5, relaxed
# Magnetic moment: 12.07 μB per cell
# Energy relative to the lowest polymorph listed for this composition: 165.1 meV/atom
# Formation energy without anion corrections: 566 meV/atom
# Calculated total energy: -0.3631 Ry/atom
# DOS at the Fermi energy: 4.6 states/eV/f.u.
# Space group: I4/mmm
data_Fe4Te5
_chemical_formula_sum 'Fe4 Te5'
_space_group_name_H-M_alt 'P 1'
_space_group_IT_number 1
_cell_length_a 7.670
_cell_length_b 7.670
_cell_length_c 7.670
_cell_angle_alpha 93.55
_cell_angle_beta 93.55
_cell_angle_gamma 151.20
loop_
_space_group_symop_operation_xyz
'x,y,z'
loop_
_atom_site_label
_atom_site_fract_x
_atom_site_fract_y
_atom_site_fract_z
Fe1 0.613 0.000 0.613
Fe2 0.387 0.000 0.387
Fe3 0.000 0.387 0.387
Fe4 0.000 0.613 0.613
Te1 0.000 0.000 0.000
Te2 0.675 0.325 0.000
Te3 0.325 0.675 0.000
Te4 0.325 0.325 0.650
Te5 0.675 0.675 0.350

# PBE Fe3Te, relaxed
# Magnetic moment: 6.41 μB per cell
# Formation energy without anion corrections: 247 meV/atom
# Calculated total energy: -0.5060 Ry/atom
# DOS at the Fermi energy: 3.1 states/eV/f.u.
# Space group: Fm-3m
data_Fe3Te
_chemical_formula_sum 'Fe3 Te1'
_space_group_name_H-M_alt 'P 1'
_space_group_IT_number 1
_cell_length_a 4.248
_cell_length_b 4.248
_cell_length_c 4.248
_cell_angle_alpha 60.00
_cell_angle_beta 60.00
_cell_angle_gamma 60.00
loop_
_space_group_symop_operation_xyz
'x,y,z'
loop_
_atom_site_label
_atom_site_fract_x
_atom_site_fract_y
_atom_site_fract_z
Fe1 0.000 0.000 0.000
Fe2 0.750 0.750 0.750
Fe3 0.500 0.500 0.500
Te1 0.250 0.250 0.250

# PBE Fe5Te4, relaxed
# Magnetic moment: 23.55 μB per cell
# Formation energy without anion corrections: 520 meV/atom
# Calculated total energy: -0.4099 Ry/atom
# DOS at the Fermi energy: 13.0 states/eV/f.u.
# Space group: P6_3/mcm
data_Fe5Te4
_chemical_formula_sum 'Fe10 Te8'
_space_group_name_H-M_alt 'P 1'
_space_group_IT_number 1
_cell_length_a 8.134
_cell_length_b 8.134
_cell_length_c 5.562
_cell_angle_alpha 90.00
_cell_angle_beta 90.00
_cell_angle_gamma 120.00
loop_
_space_group_symop_operation_xyz
'x,y,z'
loop_
_atom_site_label
_atom_site_fract_x
_atom_site_fract_y
_atom_site_fract_z
Te1 0.000 0.000 0.000
Te2 0.000 0.000 0.500
Te3 0.624 0.000 0.250
Te4 0.000 0.624 0.250
Te5 0.376 0.376 0.250
Te6 0.376 0.000 0.750
Te7 0.000 0.376 0.750
Te8 0.624 0.624 0.750
Fe1 0.316 0.000 0.250
Fe2 0.000 0.316 0.250
Fe3 0.684 0.684 0.250
Fe4 0.684 0.000 0.750
Fe5 0.000 0.684 0.750
Fe6 0.316 0.316 0.750
Fe7 0.333 0.667 0.000
Fe8 0.667 0.333 0.500
Fe9 0.667 0.333 0.000
Fe10 0.333 0.667 0.500

Question: Which of these has the highest magnetic moment?
Answer: Fe5Te4